{
  "formula": "Sr2H4Pd",
  "functional": "GGA-PBE",
  "state": "relaxed",
  "energy_ev_per_atom": -3.593,
  "total_magnetization_mub_per_atom": 0.00,
  "cell": [[-0.276, -3.551, 1.089], [1.476, 0.897, 3.300], [-5.976, -0.024, 4.781]],
  "species": ["Sr", "Sr", "Pd", "H", "H", "H", "H"],
  "fractional_positions": [[0.362, 0.362, 0.275], [0.638, 0.638, 0.725], [0.000, 0.000, 0.000], [0.184, 0.184, 0.632], [0.816, 0.816, 0.368], [0.000, 0.500, 0.000], [0.500, 0.000, 0.000]]
}



{
  "formula": "Sr3H5Pd12",
  "functional": "GGA-PBE",
  "state": "relaxed",
  "energy_ev_per_atom": -4.357,
  "total_magnetization_mub_per_atom": 0.00,
  "cell": [[11.863, 0.000, 0.000], [-3.954, 11.184, 0.000], [-3.954, -5.592, 9.686]],
  "species": ["Sr", "Sr", "Sr", "Sr", "Sr", "Sr", "Sr", "Sr", "Sr", "Sr", "Sr", "Sr", "H", "H", "H", "H", "H", "H", "H", "H", "H", "H", "H", "H", "H", "H", "H", "H", "H", "H", "H", "H", "Pd", "Pd", "Pd", "Pd", "Pd", "Pd", "Pd", "Pd", "Pd", "Pd", "Pd", "Pd", "Pd", "Pd", "Pd", "Pd", "Pd", "Pd", "Pd", "Pd", "Pd", "Pd", "Pd", "Pd", "Pd", "Pd", "Pd", "Pd", "Pd", "Pd", "Pd", "Pd", "Pd", "Pd", "Pd", "Pd", "Pd", "Pd", "Pd", "Pd", "Pd", "Pd", "Pd", "Pd", "Pd", "Pd", "Pd", "Pd"],
  "fractional_positions": [[0.750, 0.375, 0.125], [0.875, 0.750, 0.125], [0.375, 0.750, 0.625], [0.250, 0.125, 0.375], [0.875, 0.125, 0.250], [0.375, 0.625, 0.250], [0.625, 0.375, 0.750], [0.125, 0.875, 0.750], [0.750, 0.875, 0.625], [0.625, 0.250, 0.375], [0.125, 0.250, 0.875], [0.250, 0.625, 0.875], [0.125, 0.375, 0.250], [0.000, 0.500, 0.000], [0.000, 0.000, 0.000], [0.375, 0.250, 0.125], [0.500, 0.000, 0.500], [0.500, 0.500, 0.000], [0.125, 0.750, 0.375], [0.750, 0.125, 0.875], [0.750, 0.625, 0.375], [0.375, 0.125, 0.750], [0.625, 0.875, 0.250], [0.500, 0.500, 0.500], [0.500, 0.000, 0.000], [0.000, 0.000, 0.500], [0.250, 0.375, 0.625], [0.250, 0.875, 0.125], [0.000, 0.500, 0.500], [0.875, 0.250, 0.625], [0.625, 0.750, 0.875], [0.875, 0.625, 0.750], [0.677, 0.080, 0.978], [0.301, 0.478, 0.399], [0.022, 0.420, 0.323], [0.478, 0.177, 0.080], [0.597, 0.677, 0.699], [0.022, 0.601, 0.199], [0.301, 0.823, 0.403], [0.101, 0.903, 0.080], [0.601, 0.022, 0.699], [0.677, 0.597, 0.199], [0.823, 0.522, 0.420], [0.801, 0.899, 0.978], [0.080, 0.677, 0.478], [0.420, 0.399, 0.097], [0.097, 0.899, 0.420], [0.403, 0.080, 0.601], [0.097, 0.199, 0.177], [0.522, 0.699, 0.101], [0.801, 0.903, 0.323], [0.080, 0.403, 0.101], [0.420, 0.022, 0.823], [0.601, 0.580, 0.403], [0.899, 0.801, 0.478], [0.823, 0.301, 0.903], [0.399, 0.420, 0.597], [0.101, 0.199, 0.522], [0.177, 0.699, 0.097], [0.199, 0.097, 0.677], [0.580, 0.978, 0.177], [0.920, 0.597, 0.899], [0.478, 0.301, 0.899], [0.597, 0.920, 0.399], [0.903, 0.801, 0.823], [0.903, 0.101, 0.580], [0.920, 0.323, 0.522], [0.199, 0.101, 0.022], [0.580, 0.601, 0.903], [0.399, 0.978, 0.301], [0.323, 0.403, 0.801], [0.177, 0.478, 0.580], [0.899, 0.097, 0.920], [0.699, 0.177, 0.597], [0.522, 0.823, 0.920], [0.978, 0.399, 0.801], [0.403, 0.323, 0.301], [0.978, 0.580, 0.677], [0.699, 0.522, 0.601], [0.323, 0.920, 0.022]]
}



{
  "formula": "Sr2H4Pd",
  "functional": "GGA-PBE",
  "state": "relaxed",
  "energy_ev_per_atom": -3.694,
  "total_magnetization_mub_per_atom": 0.00,
  "cell": [[-2.713, 0.217, 2.673], [-0.470, -3.782, -0.170], [6.550, 0.937, 3.850]],
  "species": ["Sr", "Sr", "H", "H", "H", "H", "Pd"],
  "fractional_positions": [[0.647, 0.647, 0.294], [0.353, 0.353, 0.706], [0.117, 0.117, 0.235], [0.883, 0.883, 0.765], [0.250, 0.750, 0.500], [0.750, 0.250, 0.500], [0.000, 0.000, 0.000]]
}



{
  "formula": "Sr2H6Pd",
  "functional": "GGA-PBE",
  "state": "relaxed",
  "energy_ev_per_atom": -3.698,
  "total_magnetization_mub_per_atom": 0.00,
  "cell": [[3.713, 0.000, -0.924], [-0.230, 3.706, -0.924], [-0.088, -0.093, 7.573]],
  "species": ["Sr", "Sr", "H", "H", "H", "H", "H", "H", "Pd"],
  "fractional_positions": [[0.853, 0.853, 0.705], [0.147, 0.147, 0.295], [0.620, 0.620, 0.239], [0.380, 0.380, 0.761], [0.500, 0.000, 0.000], [0.250, 0.750, 0.500], [0.750, 0.250, 0.500], [0.000, 0.500, 0.000], [0.500, 0.500, 0.000]]
}



Q: Number 2 is which compound?
A: Sr3H5Pd12